# Ba2ScTa, optimized geometry, DFT PBE
data_Ba2ScTa
_cell_length_a 3.394
_cell_length_b 3.394
_cell_length_c 11.562
_cell_angle_alpha 90.00
_cell_angle_beta 90.00
_cell_angle_gamma 90.00
_space_group_name_H-M_alt 'P 4 m m'
_space_group_IT_number 99
_space_group_name_Hall 'P 4 -2'
loop_
_atom_site_label
_atom_site_type_symbol
_atom_site_fract_x
_atom_site_fract_y
_atom_site_fract_z
Ba1 Ba 0.000 0.000 0.000
Ba2 Ba 0.500 0.500 0.331
Sc1 Sc 0.000 0.000 0.606
Ta1 Ta 0.500 0.500 0.762
# Size of the total moment = 0.10 Bohr magnetons per cell
# DOS at the Fermi energy = 5.55 states/eV per cell
# Energy of formation = 620 meV per atom
# Energy above the lowest structure with this stoichiometry = 0.07 eV/f.u.
# Electronic total energy = -0.35920 Ry/atom
# ρ = 6.241 g cm⁻³

***

# ZnInPd3, optimized geometry, DFT PBE
data_ZnInPd3
_cell_length_a 4.937
_cell_length_b 4.937
_cell_length_c 4.937
_cell_angle_alpha 90.00
_cell_angle_beta 90.00
_cell_angle_gamma 90.00
_space_group_name_H-M_alt 'P m -3 m'
_space_group_IT_number 221
_space_group_name_Hall '-P 4 2 3'
loop_
_atom_site_label
_atom_site_type_symbol
_atom_site_fract_x
_atom_site_fract_y
_atom_site_fract_z
Zn1 Zn 0.000 0.000 0.000
In1 In 0.500 0.500 0.500
Pd1 Pd 0.000 0.500 0.500
# Size of the total moment = 0.00 Bohr magnetons per cell
# DOS at the Fermi energy = 3.10 states/eV per cell
# Energy of formation = 631 meV per atom
# Energy above the lowest structure with this stoichiometry = 4.32 eV/f.u.
# Electronic total energy = -0.24163 Ry/atom
# ρ = 6.895 g cm⁻³

***

# Ac2MnAlGe6, optimized geometry, DFT PBE
data_Ac2MnAlGe6
_cell_length_a 6.4581
_cell_length_b 6.4581
_cell_length_c 36.2408
_cell_angle_alpha 90.00
_cell_angle_beta 90.00
_cell_angle_gamma 120.00
_space_group_name_H-M_alt 'R -3 m'
_space_group_IT_number 166
_space_group_name_Hall '-R 3 2"'
loop_
_atom_site_label
_atom_site_type_symbol
_atom_site_fract_x
_atom_site_fract_y
_atom_site_fract_z
Ac1 Ac 0.0000 0.0000 0.1113
Ac2 Ac 0.0000 0.0000 0.2877
Mn1 Mn 0.0000 0.0000 0.0000
Mn2 Mn 0.0000 0.0000 0.5000
Al1 Al 0.0000 0.0000 0.4289
Ge1 Ge 0.0483 0.5242 0.2950
Ge2 Ge 0.0642 0.5321 0.8650
# Size of the total moment = 12.25 Bohr magnetons per cell
# DOS at the Fermi energy = 27.65 states/eV per cell
# Energy of formation = -323 meV per atom
# Electronic total energy = -0.38267 Ry/atom
# ρ = 7.396 g cm⁻³

***

# Sr2Sn3Bi8, optimized geometry, DFT PBE
data_Sr2Sn3Bi8
_cell_length_a 11.977
_cell_length_b 11.537
_cell_length_c 6.832
_cell_angle_alpha 90.00
_cell_angle_beta 96.97
_cell_angle_gamma 90.00
_space_group_name_H-M_alt 'C 1 2/m 1'
_space_group_IT_number 12
_space_group_name_Hall '-C 2y'
loop_
_atom_site_label
_atom_site_type_symbol
_atom_site_fract_x
_atom_site_fract_y
_atom_site_fract_z
Sr1 Sr 0.201 0.000 0.347
Sn1 Sn 0.000 0.273 0.000
Sn2 Sn 0.000 0.500 0.500
Bi1 Bi 0.100 0.000 0.841
Bi2 Bi 0.123 0.248 0.602
Bi3 Bi 0.136 0.500 0.131
# Size of the total moment = 0.00 Bohr magnetons per cell
# DOS at the Fermi energy = 14.59 states/eV per cell
# Energy of formation = -123 meV per atom
# Electronic total energy = -0.27147 Ry/atom
# ρ = 7.809 g cm⁻³

***

# Ac2YPaN4, optimized geometry, DFT PBE
data_Ac2YPaN4
_cell_length_a 6.223
_cell_length_b 3.652
_cell_length_c 6.531
_cell_angle_alpha 90.00
_cell_angle_beta 108.53
_cell_angle_gamma 90.00
_space_group_name_H-M_alt 'P 1 2/m 1'
_space_group_IT_number 10
_space_group_name_Hall '-P 2y'
loop_
_atom_site_label
_atom_site_type_symbol
_atom_site_fract_x
_atom_site_fract_y
_atom_site_fract_z
Ac1 Ac 0.000 0.000 0.000
Ac2 Ac 0.500 0.500 0.000
Y1 Y 0.000 0.500 0.500
Pa1 Pa 0.500 0.000 0.500
N1 N 0.254 0.000 0.706
N2 N 0.278 0.500 0.301
# Size of the total moment = 0.00 Bohr magnetons per cell
# DOS at the Fermi energy = 2.76 states/eV per cell
# Electronic total energy = -0.63097 Ry/atom
# ρ = 9.794 g cm⁻³